[1]
This record from Alexandria describes PmSm2Sn after structural relaxation. The functional is PBE.

Cell and atoms, written as POSCAR:
```
PmSm2Sn
1.0
5.6263 0.0000 0.0000
-2.8132 6.5320 0.0000
0.0000 0.0000 6.8536
Pm Sm Sn
2 4 2
Cartesian
0.0000 0.9367 5.1402
2.8132 5.5953 1.7134
0.0000 4.7810 6.7328
2.8132 1.7509 3.3060
0.0000 4.7810 3.5476
2.8132 1.7509 0.1208
0.0000 2.1953 1.7134
2.8132 4.3367 5.1402
```

Results
**Total energy**: -19.45 eV/f.u.
**SG**: Cmcm
**Energy above the lowest structure with this stoichiometry**: 0.53 eV per formula unit
**Calculated volume**: 31.5 A^3/atom
**Total magnetic moment**: 0.00 Bohr magnetons per cell

---

[2]
This record from Alexandria describes Li2DyZn4 after structural relaxation. The functional is PBE.

Cell and atoms, written as POSCAR:
```
Li2DyZn4
1.0
-2.7585 -0.5818 4.0534
-5.4158 0.6249 -0.5889
-1.8229 -5.0661 1.0394
Li Dy Zn
2 1 4
Cartesian
-4.3090 -2.3660 1.2386
-5.6883 -2.6569 3.2653
0.0000 0.0000 0.0000
-2.9280 0.0605 1.0231
-1.5495 -2.1231 1.6479
-5.2463 -0.0174 2.4413
-3.0319 -3.5248 3.4449
```

Results
**Total energy**: -15.53 eV/f.u.
**SG**: I4/mmm
**Calculated volume**: 16.9 A^3/atom
**Total magnetic moment**: 0.00 Bohr magnetons per cell

---

[3]
This record from Alexandria describes Tl2ClF after structural relaxation. The functional is PBE.

Cell and atoms, written as POSCAR:
```
Tl2ClF
1.0
3.6361 0.0000 0.0000
0.0000 3.6361 0.0000
0.0000 0.0000 7.4187
Cl Tl F
1 2 1
Cartesian
1.8181 1.8181 3.7093
0.0000 0.0000 5.7615
0.0000 0.0000 1.6572
1.8181 1.8181 0.0000
```

Results
**Total energy**: -13.54 eV/f.u.
**Formation energy from raw total energies**: -1.273 eV/atom
**SG**: P4/mmm
**Energy above the lowest structure with this stoichiometry**: 0.31 eV per formula unit
**Calculated volume**: 24.5 A^3/atom
**Total magnetic moment**: 0.00 Bohr magnetons per cell

---

[4]
This record from Alexandria describes FeHgSb2 after structural relaxation. The functional is PBE.

Cell and atoms, written as POSCAR:
```
FeHgSb2
1.0
-1.6936 5.1284 2.5248
-2.2472 0.0119 5.5221
4.7091 -2.2140 -2.9097
Sb Hg Fe
2 1 1
Cartesian
0.2457 0.1840 3.3179
0.0000 0.0000 0.0000
0.5225 2.7423 1.8192
-1.9704 2.5702 4.0234
```

Results
**Total energy**: -14.89 eV/f.u.
**Formation energy from raw total energies**: 0.531 eV/atom
**SG**: I-4m2
**Calculated volume**: 22.9 A^3/atom
**Total magnetic moment**: 2.97 Bohr magnetons per cell

---

Question: Number 2 is which compound?
Answer: Li2DyZn4

---

Question: Look up the calculated volume of the fourth one.
Answer: 22.9 A^3/atom

---

Question: Number 3 is which compound?
Answer: Tl2ClF